[1]
Below is CaGaSnH after structural relaxation, with properties calculated at the GGA-PBE level.

The structure belongs to space group P3m1 (No. 156); the cell edges are 4.3843, 4.3843 and 4.9324 Å and the angles 90.00°, 90.00° and 120.00°. The inequivalent atoms are Ca at (0.0000, 0.0000, 0.0000), Ga at (0.6667, 0.3333, 0.6168), Sn at (0.3333, 0.6667, 0.4469) and H at (0.6667, 0.3333, 0.9669).

The calculation puts the total magnetization at 0.00 μB per formula unit.


[2]
Below is Ca2GaSnH after structural relaxation, with properties calculated at the GGA-PBE level.

The structure belongs to space group P4/mmm (No. 123); the cell edges are 4.840, 4.840 and 4.542 Å and the angles 90.00°, 90.00° and 90.00°. The inequivalent atoms are Ca at (0.000, 0.500, 0.000), Ga at (0.000, 0.000, 0.500), Sn at (0.500, 0.500, 0.500) and H at (0.000, 0.000, 0.000).

The calculation puts the total magnetization at 0.00 μB per formula unit.


[3]
Below is Sr2CaGaH after structural relaxation, with properties calculated at the GGA-PBE level.

The structure belongs to space group P4/mmm (No. 123); the cell edges are 5.236, 5.236 and 4.973 Å and the angles 90.00°, 90.00° and 90.00°. The inequivalent atoms are Sr at (0.000, 0.500, 0.000), Ca at (0.000, 0.000, 0.500), Ga at (0.500, 0.500, 0.500) and H at (0.000, 0.000, 0.000).

The calculation puts the total magnetization at 0.00 μB per formula unit.


[4]
Below is Ca2YGaH after structural relaxation, with properties calculated at the GGA-PBE level.

The structure belongs to space group P4/mmm (No. 123); the cell edges are 4.779, 4.779 and 4.942 Å and the angles 90.00°, 90.00° and 90.00°. The inequivalent atoms are Ca at (0.000, 0.500, 0.000), Y at (0.000, 0.000, 0.500), Ga at (0.500, 0.500, 0.500) and H at (0.000, 0.000, 0.000).

The calculation puts the total magnetization at 0.00 μB per formula unit.


[5]
Below is CaY2GaH after structural relaxation, with properties calculated at the GGA-PBE level.

The structure belongs to space group P4/mmm (No. 123); the cell edges are 4.799, 4.799 and 4.776 Å and the angles 90.00°, 90.00° and 90.00°. The inequivalent atoms are Ca at (0.000, 0.000, 0.000), Y at (0.000, 0.500, 0.500), Ga at (0.500, 0.500, 0.000) and H at (0.000, 0.000, 0.500).

The calculation puts the total magnetization at 0.94 μB per formula unit.


[6]
Below is Ca2ZnGaH after structural relaxation, with properties calculated at the GGA-PBE level.

The structure belongs to space group P4/mmm (No. 123); the cell edges are 4.965, 4.965 and 3.942 Å and the angles 90.00°, 90.00° and 90.00°. The inequivalent atoms are Ca at (0.000, 0.500, 0.000), Zn at (0.000, 0.000, 0.500), Ga at (0.500, 0.500, 0.500) and H at (0.000, 0.000, 0.000).

The calculation puts the total magnetization at 0.00 μB per formula unit.


For the records above, the corresponding energy values read -3.478; -3.297; -2.587; -3.630; -4.539; -2.647 eV/atom.